Record 1
BeIn GGA-PBE relaxed; calculated formation energy = 0.69 eV/atom; offset from the most stable computed form = 403 meV/atom; space-group type = P6_3/mcm (193); uncorrected energy = -2.544 eV/atom; size of the total moment = 0.00 μB per cell
1.0
7.7333 0.0000 0.0000
-3.8666 6.6972 0.0000
0.0000 0.0000 4.8656
Be In
6 6
Cartesian
4.8475 0.0000 1.2164
2.4237 4.1980 3.6492
-2.4237 4.1980 1.2164
2.8858 0.0000 3.6492
1.4429 2.4992 1.2164
-1.4429 2.4992 3.6492
2.2991 0.0000 1.2164
1.1496 1.9911 3.6492
-1.1496 1.9911 1.2164
5.4342 0.0000 3.6492
2.7171 4.7061 1.2164
-2.7171 4.7061 3.6492

---

Record 2
AcMgCdIr GGA-PBE relaxed; calculated formation energy = -0.15 eV/atom; space-group type = F-43m (216); uncorrected energy = -4.018 eV/atom; size of the total moment = 0.00 μB per cell
1.0
-3.3921 -3.7591 0.9484
-0.0656 -2.3088 4.6045
-3.9197 0.8246 3.2392
Ac Ir Mg Cd
1 1 1 1
Cartesian
-3.6887 -2.6216 4.3960
-1.8443 -1.3108 2.1980
0.0000 0.0000 0.0000
-5.5330 -3.9325 6.5941

---

Record 3
PrY5Tl6 GGA-PBE relaxed; calculated formation energy = -0.38 eV/atom; space-group type = C2/m (12); uncorrected energy = -4.652 eV/atom; size of the total moment = 0.00 μB per cell
1.0
5.2064 -0.0101 -1.4631
-3.9090 7.5655 -3.9327
-0.2038 -1.1094 9.3119
Pr Y Tl
1 5 6
Cartesian
0.0000 0.0000 0.0000
1.7936 0.3039 6.4149
-1.4363 1.7762 4.9063
0.5468 3.2230 1.9580
-2.6765 4.6800 0.4729
-0.7000 6.1422 -2.4988
0.9055 0.1669 3.2449
1.4461 3.3339 5.1680
2.8873 1.6675 0.2845
-1.7937 4.7785 3.6316
-0.3525 3.1121 -1.2519
0.1881 6.2792 0.6712

---

Record 4
NdOF3 GGA-PBE relaxed; space-group type = P2_1/c (14); uncorrected energy = -5.715 eV/atom; size of the total moment = 8.00 μB per cell; formation energy (no corrections) = -2.647 eV per atom
1.0
7.5040 0.0000 0.0000
0.0000 6.0032 -1.7904
0.0000 1.2503 7.1334
Nd O F
4 4 12
Cartesian
5.6276 4.1264 2.2849
1.8765 3.1271 3.0581
1.8756 5.5036 -1.4038
5.6285 1.7500 6.7468
5.6189 3.5404 4.8080
1.8852 3.7132 0.5350
1.8669 1.3367 4.9969
5.6372 5.9168 0.3461
5.6224 2.5611 0.6264
1.8816 4.6924 4.7166
1.8704 1.0656 2.0451
5.6336 6.1879 3.2979
3.3397 4.6345 1.9307
4.1644 2.6191 3.4123
7.0917 4.9955 -1.0496
0.4124 2.2580 6.3926
0.4132 4.6226 1.9171
7.0908 2.6309 3.4259
4.1653 5.0074 -1.0361
3.3388 2.2462 6.3790

---

Record 5
FeH GGA-PBE relaxed; space-group type = Fddd (70); uncorrected energy = -5.809 eV/atom; size of the total moment = 35.36 μB per cell
1.0
5.6197 0.0000 0.0000
0.0000 7.5747 0.0000
0.0000 0.0000 5.4207
Fe H
16 16
Cartesian
0.0000 0.0000 1.2704
0.0000 0.0000 4.1503
1.4049 5.6810 0.0847
1.4049 5.6810 2.6256
0.0000 3.7873 3.9808
0.0000 3.7873 1.4399
1.4049 1.8937 2.7951
1.4049 1.8937 5.3360
2.8098 0.0000 3.9808
2.8098 0.0000 1.4399
4.2148 5.6810 2.7951
4.2148 5.6810 5.3360
2.8098 3.7873 1.2704
2.8098 3.7873 4.1503
4.2148 1.8937 0.0847
4.2148 1.8937 2.6256
0.0000 2.8142 0.0000
0.0000 4.7605 0.0000
1.4049 2.8668 1.3552
1.4049 0.9205 1.3552
0.0000 6.6015 2.7104
0.0000 0.9732 2.7104
1.4049 6.6541 4.0656
1.4049 4.7078 4.0656
2.8098 2.8142 2.7104
2.8098 4.7605 2.7104
4.2148 2.8668 4.0656
4.2148 0.9205 4.0656
2.8098 6.6015 0.0000
2.8098 0.9732 0.0000
4.2148 6.6541 1.3552
4.2148 4.7078 1.3552

---

Record 6
TiCoHRh2 GGA-PBE relaxed; offset from the most stable computed form = 0 meV/atom; space-group type = P4/mmm (123); uncorrected energy = -7.063 eV/atom; size of the total moment = 0.00 μB per cell
1.0
3.8773 0.0000 0.0000
0.0000 3.8773 0.0000
0.0000 0.0000 3.7089
Co Rh H Ti
1 2 1 1
Cartesian
0.0000 0.0000 1.8544
0.0000 1.9386 0.0000
1.9386 0.0000 0.0000
0.0000 0.0000 0.0000
1.9386 1.9386 1.8544

---

Record 7
MnOsAu2 GGA-PBE relaxed; calculated formation energy = 0.49 eV/atom; offset from the most stable computed form = 263 meV/atom; space-group type = Immm (71); uncorrected energy = -6.253 eV/atom; size of the total moment = 3.90 μB per cell
1.0
-4.4721 -1.0449 3.0568
-2.2333 -5.0446 -0.0088
4.2882 3.3062 1.0564
Au Mn Os
2 1 1
Cartesian
-6.6744 -6.0614 3.0339
-3.3836 -3.0728 1.5381
-1.7683 -0.3917 2.8186
-0.6489 -2.3916 1.2858

---

Record 8
Nb3Os3Pt2 GGA-PBE relaxed; calculated formation energy = -0.35 eV/atom; space-group type = Pmmm (47); uncorrected energy = -9.846 eV/atom; size of the total moment = 0.00 μB per cell
1.0
3.9359 0.0000 0.0000
0.0000 3.9784 0.0000
0.0000 0.0000 8.1100
Nb Os Pt
3 3 2
Cartesian
1.9679 1.9892 5.9449
1.9679 1.9892 2.1651
1.9679 0.0000 0.0000
1.9679 0.0000 4.0550
0.0000 1.9892 0.0000
0.0000 1.9892 4.0550
0.0000 0.0000 6.0289
0.0000 0.0000 2.0811